# 1
# Ca2YSc

Crystalline Ca2YSc at its relaxed geometry (PBEsol, Alexandria).

```
Ca2YSc
1.0
-1.290 -2.417 -2.386
2.958 0.456 -2.060
4.565 -7.309 4.937
Y Sc Ca
1 1 2
Direct
0.500 0.500 0.718 Y
0.000 0.000 0.518 Sc
0.000 0.000 0.985 Ca
0.500 0.500 0.278 Ca
```

Uncorrected energy, eV/atom: -4.33
Space-group type: P4mm, No. 99

# 2
# Mg2AlZn

Crystalline Mg2AlZn at its relaxed geometry (PBEsol, Alexandria).

```
Mg2AlZn
1.0
-1.425 -2.470 -0.653
2.295 -2.365 3.937
-4.394 2.109 1.614
Mg Zn Al
2 1 1
Direct
0.000 0.500 0.000 Mg
0.000 0.000 0.500 Mg
0.500 0.000 0.000 Zn
0.500 0.500 0.500 Al
```

Uncorrected energy, eV/atom: -2.29
Space-group type: Cmmm, No. 65

| no. | DFT formation energy (eV/f.u.) | magnetization (Bohr magnetons per cell) |
| --- | --- | --- |
| 1 | 0.4 | 0.005 |
| 2 | 0.0 | 0.000 |